Entry 1:
An optimized crystal structure of In2P. Source: the Alexandria database, functional GGA-PBE.

The structure in extended XYZ format:
```
6
Lattice="1.862 -10.487 0.000 1.862 10.487 0.000 0.000 0.000 3.793" Properties=species:S:1:pos:R:3 pbc="T T T"
In 1.862 9.169 2.845
In 1.862 6.250 0.948
In 1.862 -6.250 2.845
In 1.862 -9.169 0.948
P 1.862 2.221 2.845
P 1.862 -2.221 0.948
```

Values from the calculation:
Polymorph energy (0 for the lowest one) in eV per atom: 0.1431
Calculated formation energy in eV per atom: 0.11

---

Entry 2:
An optimized crystal structure of Tb12Pm5Ho2. Source: the Alexandria database, functional GGA-PBE.

The structure in extended XYZ format:
```
19
Lattice="9.057 -4.166 0.000 9.057 4.166 0.000 -3.098 0.000 8.426" Properties=species:S:1:pos:R:3 pbc="T T T"
Tb -0.245 0.000 1.514
Tb 6.207 1.967 0.303
Tb 4.569 1.663 5.374
Tb 8.809 1.967 8.123
Tb 10.447 1.663 3.052
Tb 7.099 0.000 2.775
Tb 7.918 0.000 5.652
Tb 4.569 -1.663 5.374
Tb 6.207 -1.967 0.303
Tb 10.447 -1.663 3.052
Tb 8.809 -1.967 8.123
Tb 15.261 0.000 6.913
Pm 1.451 0.000 5.805
Pm 3.738 0.000 2.314
Pm 9.057 0.000 0.000
Pm 11.279 0.000 6.113
Pm 13.565 0.000 2.622
Ho 7.508 2.719 4.213
Ho 7.508 -2.719 4.213
```

Values from the calculation:
Polymorph energy (0 for the lowest one) in eV per atom: 0.0997
Calculated formation energy in eV per atom: 0.21

---

Entry 3:
An optimized crystal structure of Tb5PmDy12. Source: the Alexandria database, functional GGA-PBE.

The structure in extended XYZ format:
```
18
Lattice="5.583 -8.671 0.000 5.583 8.671 0.000 -0.002 0.000 5.953" Properties=species:S:1:pos:R:3 pbc="T T T"
Tb 0.000 0.000 0.000
Tb 5.582 5.770 2.976
Tb 5.583 2.901 0.000
Tb 5.583 -2.901 0.000
Tb 5.582 -5.770 2.976
Pm 5.582 0.000 2.976
Dy 1.949 2.892 5.653
Dy 3.620 2.900 2.675
Dy 1.932 0.000 3.258
Dy 3.626 0.000 0.281
Dy 1.949 -2.892 5.653
Dy 3.620 -2.900 2.675
Dy 7.543 2.900 3.278
Dy 9.215 2.892 0.300
Dy 7.538 0.000 5.672
Dy 9.232 0.000 2.695
Dy 7.543 -2.900 3.278
Dy 9.215 -2.892 0.300
```

Values from the calculation:
Calculated formation energy in eV per atom: 0.12

---

Entry 4:
An optimized crystal structure of HIrOs2Ru. Source: the Alexandria database, functional GGA-PBE.

The structure in extended XYZ format:
```
5
Lattice="3.898 0.000 0.000 0.000 3.898 0.000 0.000 0.000 3.902" Properties=species:S:1:pos:R:3 pbc="T T T"
H 0.000 0.000 0.000
Ir 1.949 1.949 1.951
Os 0.000 1.949 0.000
Os 1.949 0.000 0.000
Ru 0.000 0.000 1.951
```

Values from the calculation:
Total energy in eV per atom: -8.5967

---

Entry 5:
An optimized crystal structure of CrNiOs2. Source: the Alexandria database, functional GGA-PBE.

The structure in extended XYZ format:
```
4
Lattice="4.290 -1.335 0.000 4.290 1.335 0.000 -0.857 0.000 4.565" Properties=species:S:1:pos:R:3 pbc="T T T"
Cr 0.000 0.000 0.000
Ni 3.862 0.000 2.282
Os 1.551 0.000 3.431
Os 6.173 0.000 1.134
```

Values from the calculation:
Polymorph energy (0 for the lowest one) in eV per atom: 0.0473
Calculated formation energy in eV per atom: 0.12

---

Entry 6:
An optimized crystal structure of PaAs2PdN. Source: the Alexandria database, functional GGA-PBE.

The structure in extended XYZ format:
```
10
Lattice="3.779 0.000 0.000 0.000 3.779 0.000 0.000 0.000 13.420" Properties=species:S:1:pos:R:3 pbc="T T T"
Pa 0.945 0.945 1.249
Pa 2.834 2.834 12.171
As 0.945 0.945 5.673
As 0.945 0.945 10.676
As 2.834 2.834 2.743
As 2.834 2.834 7.747
Pd 0.945 0.945 8.186
Pd 2.834 2.834 5.233
N 0.945 2.834 0.000
N 2.834 0.945 0.000
```

Values from the calculation:
Total energy in eV per atom: -7.2906

---

Entry 7:
An optimized crystal structure of Ac4OsS2Br. Source: the Alexandria database, functional GGA-PBE.

The structure in extended XYZ format:
```
8
Lattice="7.612 0.000 0.000 0.000 4.304 0.000 -2.370 0.000 7.464" Properties=species:S:1:pos:R:3 pbc="T T T"
Ac 1.281 0.000 1.672
Ac 0.131 2.152 5.806
Ac 5.110 2.152 1.657
Ac 3.961 0.000 5.792
Os 0.000 2.152 0.000
S 3.806 0.000 0.000
S 2.621 2.152 3.732
Br -1.185 0.000 3.732
```

Values from the calculation:
Total energy in eV per atom: -5.9362

---

Entry 8:
An optimized crystal structure of HfMn2In. Source: the Alexandria database, functional GGA-PBE.

The structure in extended XYZ format:
```
4
Lattice="4.342 0.000 0.000 0.000 4.342 0.000 0.000 0.000 3.432" Properties=species:S:1:pos:R:3 pbc="T T T"
Hf 0.000 0.000 0.000
Mn 0.000 2.171 1.716
Mn 2.171 0.000 1.716
In 2.171 2.171 0.000
```

Values from the calculation:
Calculated formation energy in eV per atom: 0.03

---

Entry 9:
An optimized crystal structure of Y2As2Au. Source: the Alexandria database, functional GGA-PBE.

The structure in extended XYZ format:
```
10
Lattice="7.626 0.000 0.000 0.000 7.626 0.000 0.000 0.000 3.862" Properties=species:S:1:pos:R:3 pbc="T T T"
Y 1.209 2.604 0.000
Y 2.604 6.417 0.000
Y 5.022 1.209 0.000
Y 6.417 5.022 0.000
As 1.172 4.985 1.931
As 2.641 1.172 1.931
As 4.985 6.454 1.931
As 6.454 2.641 1.931
Au 0.000 0.000 1.931
Au 3.813 3.813 1.931
```

Values from the calculation:
Calculated formation energy in eV per atom: -0.99

---

Entry 10:
An optimized crystal structure of ErNiBi2. Source: the Alexandria database, functional GGA-PBE.

The structure in extended XYZ format:
```
4
Lattice="1.774 1.024 9.872 -1.774 1.024 9.872 0.000 -2.048 9.872" Properties=species:S:1:pos:R:3 pbc="T T T"
Er 0.000 0.000 0.000
Ni 0.000 0.000 14.809
Bi 0.000 0.000 3.162
Bi 0.000 0.000 26.455
```

Values from the calculation:
Calculated formation energy in eV per atom: 0.10

---

Entry 11:
An optimized crystal structure of KHg2Au2. Source: the Alexandria database, functional GGA-PBE.

The structure in extended XYZ format:
```
10
Lattice="8.314 0.000 0.000 0.000 8.314 0.000 0.000 0.000 3.511" Properties=species:S:1:pos:R:3 pbc="T T T"
K 0.000 0.000 0.000
K 4.157 4.157 0.000
Hg 1.466 2.691 1.755
Hg 2.691 6.848 1.755
Hg 5.623 1.466 1.755
Hg 6.848 5.623 1.755
Au 1.000 5.157 0.000
Au 3.157 1.000 0.000
Au 5.157 7.314 0.000
Au 7.314 3.157 0.000
```

Values from the calculation:
Polymorph energy (0 for the lowest one) in eV per atom: 0.1022
Calculated formation energy in eV per atom: -0.10

---

Entry 12:
An optimized crystal structure of LaMg2Ir2. Source: the Alexandria database, functional GGA-PBE.

The structure in extended XYZ format:
```
10
Lattice="7.891 0.000 0.000 0.000 7.891 0.000 0.000 0.000 3.017" Properties=species:S:1:pos:R:3 pbc="T T T"
La 0.000 0.000 0.000
La 3.945 3.945 0.000
Mg 0.957 2.989 0.000
Mg 2.989 6.934 0.000
Mg 4.902 0.957 0.000
Mg 6.934 4.902 0.000
Ir 1.375 5.321 1.508
Ir 2.570 1.375 1.508
Ir 5.321 6.516 1.508
Ir 6.516 2.570 1.508
```

Values from the calculation:
Polymorph energy (0 for the lowest one) in eV per atom: 0.1456
Calculated formation energy in eV per atom: -0.34